DFT (PBE with a Hubbard U) results for Pa2MnCrO8 after structural relaxation.

The space group is P-1 (No. 2) and the conventional cell measures 4.717, 4.734 and 6.974 Å, with angles of 89.21, 89.33 and 88.80 degrees. Symmetry generates all atoms from Pa at (0.011, 0.494, 0.250), Mn at (0.500, 0.000, 0.000), Cr at (0.500, 0.000, 0.500), O at (0.198, 0.299, 0.506), O at (0.207, 0.291, 0.994), O at (0.315, 0.827, 0.248) and O at (0.317, 0.803, 0.741).

The calculated volume comes out at 13.0 Å³/atom. The value obtained for the raw total energy is -8.765 eV per atom.